Below is a relaxed structure of HfTcOF2, with properties calculated at the GGA-PBE level.

Cell: 4.3871 4.3871 3.7355 Å, 90.00 90.00 90.00°
Atoms (fractional coordinates):
1 Hf 0.0000 0.0000 0.0000
2 Tc 0.5000 0.5000 0.5000
3 O 0.5000 0.5000 0.0000
4 F 0.0000 0.5000 0.5000
5 F 0.5000 0.0000 0.5000

Calculated values
Crystal system: tetragonal
ΔE_f (raw) in eV/atom: -0.652